DFT (PBE-GGA) results for an optimized crystal structure of Cu2AsH2.

## Properties
Excess energy over the best structure of this formula in the dataset ... 0 meV/atom

The structure in CIF format:
```
data_Cu2AsH2
_cell_length_a 6.560
_cell_length_b 6.560
_cell_length_c 2.931
_cell_angle_alpha 90.00
_cell_angle_beta 90.00
_cell_angle_gamma 90.00
_space_group_name_H-M_alt 'P 1'
_space_group_IT_number 1
loop_
_space_group_symop_operation_xyz
'x,y,z'
loop_
_atom_site_label
_atom_site_type_symbol
_atom_site_fract_x
_atom_site_fract_y
_atom_site_fract_z
Cu1 Cu 0.286 0.214 0.000
Cu2 Cu 0.714 0.786 0.000
Cu3 Cu 0.786 0.286 0.000
Cu4 Cu 0.214 0.714 0.000
As1 As 0.000 0.000 0.000
As2 As 0.500 0.500 0.000
H1 H 0.043 0.543 0.500
H2 H 0.457 0.043 0.500
H3 H 0.957 0.457 0.500
H4 H 0.543 0.957 0.500
```

---

DFT (PBE-GGA) results for an optimized crystal structure of CuAsH.

## Properties
Excess energy over the best structure of this formula in the dataset ... 58 meV/atom

The structure in CIF format:
```
data_CuAsH
_cell_length_a 4.039
_cell_length_b 5.746
_cell_length_c 6.960
_cell_angle_alpha 90.00
_cell_angle_beta 90.00
_cell_angle_gamma 90.00
_space_group_name_H-M_alt 'P 1'
_space_group_IT_number 1
loop_
_space_group_symop_operation_xyz
'x,y,z'
loop_
_atom_site_label
_atom_site_type_symbol
_atom_site_fract_x
_atom_site_fract_y
_atom_site_fract_z
As1 As 0.927 0.441 0.116
As2 As 0.573 0.559 0.616
As3 As 0.073 0.941 0.384
As4 As 0.427 0.059 0.884
Cu1 Cu 0.903 0.890 0.718
Cu2 Cu 0.597 0.110 0.218
Cu3 Cu 0.097 0.390 0.782
Cu4 Cu 0.403 0.610 0.282
H1 H 0.332 0.159 0.411
H2 H 0.668 0.659 0.089
H3 H 0.168 0.841 0.911
H4 H 0.832 0.341 0.589
```

---

DFT (PBE-GGA) results for an optimized crystal structure of CuAs2H.

## Properties
Excess energy over the best structure of this formula in the dataset ... 0 meV/atom

The structure in CIF format:
```
data_CuAs2H
_cell_length_a 5.956
_cell_length_b 5.956
_cell_length_c 5.271
_cell_angle_alpha 55.60
_cell_angle_beta 55.60
_cell_angle_gamma 90.00
_space_group_name_H-M_alt 'P 1'
_space_group_IT_number 1
loop_
_space_group_symop_operation_xyz
'x,y,z'
loop_
_atom_site_label
_atom_site_type_symbol
_atom_site_fract_x
_atom_site_fract_y
_atom_site_fract_z
Cu1 Cu 0.750 0.250 0.500
Cu2 Cu 0.000 0.000 0.000
H1 H 0.250 0.750 0.500
H2 H 0.500 0.500 0.000
As1 As 0.196 0.625 0.250
As2 As 0.875 0.804 0.750
As3 As 0.375 0.446 0.750
As4 As 0.554 0.125 0.250
```

---

DFT (PBE-GGA) results for an optimized crystal structure of CuAsH.

## Properties
Excess energy over the best structure of this formula in the dataset ... 57 meV/atom

The structure in CIF format:
```
data_CuAsH
_cell_length_a 3.503
_cell_length_b 3.503
_cell_length_c 4.464
_cell_angle_alpha 113.10
_cell_angle_beta 113.10
_cell_angle_gamma 90.00
_space_group_name_H-M_alt 'P 1'
_space_group_IT_number 1
loop_
_space_group_symop_operation_xyz
'x,y,z'
loop_
_atom_site_label
_atom_site_type_symbol
_atom_site_fract_x
_atom_site_fract_y
_atom_site_fract_z
H1 H 0.273 0.273 0.547
Cu1 Cu 0.518 0.518 0.036
As1 As 0.059 0.059 0.117
```

---

DFT (PBE-GGA) results for an optimized crystal structure of CuAsH.

## Properties
Excess energy over the best structure of this formula in the dataset ... 29 meV/atom

The structure in CIF format:
```
data_CuAsH
_cell_length_a 4.001
_cell_length_b 4.001
_cell_length_c 6.185
_cell_angle_alpha 90.00
_cell_angle_beta 90.00
_cell_angle_gamma 90.00
_space_group_name_H-M_alt 'P 1'
_space_group_IT_number 1
loop_
_space_group_symop_operation_xyz
'x,y,z'
loop_
_atom_site_label
_atom_site_type_symbol
_atom_site_fract_x
_atom_site_fract_y
_atom_site_fract_z
As1 As 0.000 0.500 0.285
As2 As 0.500 0.000 0.715
H1 H 0.000 0.500 0.037
H2 H 0.500 0.000 0.963
Cu1 Cu 0.000 0.000 0.500
Cu2 Cu 0.500 0.500 0.500
```

---

DFT (PBE-GGA) results for an optimized crystal structure of CuAsH2.

## Properties
Excess energy over the best structure of this formula in the dataset ... 0 meV/atom

The structure in CIF format:
```
data_CuAsH2
_cell_length_a 4.668
_cell_length_b 4.668
_cell_length_c 5.075
_cell_angle_alpha 62.62
_cell_angle_beta 62.62
_cell_angle_gamma 90.00
_space_group_name_H-M_alt 'P 1'
_space_group_IT_number 1
loop_
_space_group_symop_operation_xyz
'x,y,z'
loop_
_atom_site_label
_atom_site_type_symbol
_atom_site_fract_x
_atom_site_fract_y
_atom_site_fract_z
H1 H 0.875 0.768 0.750
H2 H 0.518 0.125 0.250
H3 H 0.232 0.625 0.250
H4 H 0.375 0.482 0.750
As1 As 0.750 0.250 0.500
As2 As 0.000 0.000 0.000
Cu1 Cu 0.250 0.750 0.500
Cu2 Cu 0.500 0.500 0.000
```

---

DFT (PBE-GGA) results for an optimized crystal structure of CuAsH2.

## Properties
Excess energy over the best structure of this formula in the dataset ... 263 meV/atom

The structure in CIF format:
```
data_CuAsH2
_cell_length_a 3.765
_cell_length_b 3.765
_cell_length_c 3.765
_cell_angle_alpha 60.00
_cell_angle_beta 60.00
_cell_angle_gamma 60.00
_space_group_name_H-M_alt 'P 1'
_space_group_IT_number 1
loop_
_space_group_symop_operation_xyz
'x,y,z'
loop_
_atom_site_label
_atom_site_type_symbol
_atom_site_fract_x
_atom_site_fract_y
_atom_site_fract_z
H1 H 0.250 0.250 0.250
H2 H 0.750 0.750 0.750
As1 As 0.500 0.500 0.500
Cu1 Cu 0.000 0.000 0.000
```

---

DFT (PBE-GGA) results for an optimized crystal structure of K4Cu3As4H2O16.

## Properties
Final energy ... -0.4016 Ry/atom

The structure in CIF format:
```
data_K4Cu3As4H2O16
_cell_length_a 9.535
_cell_length_b 9.772
_cell_length_c 10.404
_cell_angle_alpha 90.00
_cell_angle_beta 90.00
_cell_angle_gamma 118.35
_space_group_name_H-M_alt 'P 1'
_space_group_IT_number 1
loop_
_space_group_symop_operation_xyz
'x,y,z'
loop_
_atom_site_label
_atom_site_type_symbol
_atom_site_fract_x
_atom_site_fract_y
_atom_site_fract_z
K1 K 0.759 0.317 0.004
K2 K 0.241 0.683 0.996
K3 K 0.900 0.838 0.126
K4 K 0.100 0.662 0.626
K5 K 0.100 0.162 0.874
K6 K 0.241 0.183 0.504
K7 K 0.900 0.338 0.374
K8 K 0.759 0.817 0.496
As1 As 0.401 0.046 0.792
As2 As 0.184 0.312 0.165
As3 As 0.816 0.688 0.835
As4 As 0.816 0.188 0.665
As5 As 0.599 0.454 0.292
As6 As 0.599 0.954 0.208
As7 As 0.401 0.546 0.708
As8 As 0.184 0.812 0.335
O1 O 0.819 0.867 0.850
O2 O 0.418 0.878 0.807
O3 O 0.990 0.272 0.140
O4 O 0.418 0.378 0.693
O5 O 0.554 0.837 0.079
O6 O 0.496 0.641 0.851
O7 O 0.582 0.122 0.193
O8 O 0.496 0.141 0.649
O9 O 0.181 0.133 0.150
O10 O 0.250 0.391 0.316
O11 O 0.582 0.622 0.307
O12 O 0.504 0.359 0.149
O13 O 0.504 0.859 0.351
O14 O 0.446 0.663 0.579
O15 O 0.198 0.977 0.750
O16 O 0.283 0.435 0.038
O17 O 0.283 0.935 0.462
O18 O 0.802 0.023 0.250
O19 O 0.010 0.228 0.640
O20 O 0.554 0.337 0.421
O21 O 0.446 0.163 0.921
O22 O 0.250 0.891 0.184
O23 O 0.198 0.477 0.750
O24 O 0.819 0.367 0.650
O25 O 0.750 0.109 0.816
O26 O 0.750 0.609 0.684
O27 O 0.181 0.633 0.350
O28 O 0.802 0.523 0.250
O29 O 0.717 0.065 0.538
O30 O 0.717 0.565 0.962
O31 O 0.010 0.728 0.860
O32 O 0.990 0.772 0.360
H1 H 0.121 0.876 0.802
H2 H 0.879 0.124 0.198
H3 H 0.121 0.376 0.698
H4 H 0.879 0.624 0.302
Cu1 Cu 0.621 0.879 0.842
Cu2 Cu 0.379 0.121 0.158
Cu3 Cu 0.500 0.500 0.000
Cu4 Cu 0.500 0.000 0.500
Cu5 Cu 0.379 0.621 0.342
Cu6 Cu 0.621 0.379 0.658
```

---

DFT (PBE-GGA) results for an optimized crystal structure of LaCuAsH.

## Properties
Final energy ... -0.3729 Ry/atom

The structure in CIF format:
```
data_LaCuAsH
_cell_length_a 4.111
_cell_length_b 4.111
_cell_length_c 7.905
_cell_angle_alpha 90.00
_cell_angle_beta 90.00
_cell_angle_gamma 90.00
_space_group_name_H-M_alt 'P 1'
_space_group_IT_number 1
loop_
_space_group_symop_operation_xyz
'x,y,z'
loop_
_atom_site_label
_atom_site_type_symbol
_atom_site_fract_x
_atom_site_fract_y
_atom_site_fract_z
H1 H 0.000 0.000 0.000
H2 H 0.500 0.500 0.000
La1 La 0.500 0.000 0.174
La2 La 0.000 0.500 0.826
As1 As 0.500 0.000 0.687
As2 As 0.000 0.500 0.313
Cu1 Cu 0.000 0.000 0.500
Cu2 Cu 0.500 0.500 0.500
```

---

Number 1: total moment 0.00 μB per formula unit. Number 2: total moment 0.00 μB per formula unit. Number 3: total moment 0.00 μB per formula unit. Number 4: total moment 0.00 μB per formula unit. Number 5: total moment 0.00 μB per formula unit. Number 6: total moment 0.00 μB per formula unit. Number 7: total moment 0.00 μB per formula unit. Number 8: total moment 3.06 μB per formula unit. Number 9: total moment 0.00 μB per formula unit.